1.
An optimized crystal structure of CaTl2P, computed with GGA-PBEsol.

Calculated values
N(E_F) ... 1.6 states/eV/cell
ΔH_f (0 K) ... -1.57 eV/f.u.
Symmetry ... No. 6
Relative energy among the computed polymorphs ... 0.000 eV/atom
Energy ... -14.755 eV for the cell shown

a b c (Å): 3.9274 4.2473 6.5025
angles (deg): 108.94 90.00 90.00
Element x y z (fractional)
Ca1 0.0000 0.4822 0.5883
P1 0.5000 0.0240 0.6723
Tl1 0.0000 0.1961 0.0173
Tl2 0.5000 0.7977 0.2220



2.
An optimized crystal structure of Co3TcSb, computed with GGA-PBEsol.

Calculated values
N(E_F) ... 7.4 states/eV/cell
Formation energy (no corrections) ... 1.27 eV/atom
Symmetry ... No. 221
Relative energy among the computed polymorphs ... 0.000 eV/atom
Energy ... -32.667 eV for the cell shown

a b c (Å): 4.3516 4.3516 4.3516
angles (deg): 90.00 90.00 90.00
Element x y z (fractional)
Sb1 0.5000 0.5000 0.5000
Co1 0.0000 0.5000 0.0000
Co2 0.0000 0.0000 0.5000
Co3 0.5000 0.0000 0.0000
Tc1 0.0000 0.0000 0.0000



3.
An optimized crystal structure of MgPbN2O, computed with GGA-PBEsol.

Calculated values
N(E_F) ... 1.6 states/eV/cell
Formation energy (no corrections) ... 0.54 eV/atom
Symmetry ... No. 123
Energy ... -25.339 eV for the cell shown

a b c (Å): 3.9080 4.1531 4.1531
angles (deg): 90.00 90.00 90.00
Element x y z (fractional)
Pb1 0.5000 0.5000 0.5000
Mg1 0.0000 0.0000 0.0000
O1 0.5000 0.0000 0.0000
N1 0.0000 0.0000 0.5000
N2 0.0000 0.5000 0.0000



4.
An optimized crystal structure of InFeOs2, computed with GGA-PBEsol.

Calculated values
N(E_F) ... 4.0 states/eV/cell
ΔH_f (0 K) ... 1.57 eV/f.u.
Symmetry ... No. 123
Energy ... -34.803 eV for the cell shown

a b c (Å): 2.9404 2.9404 6.7462
angles (deg): 90.00 90.00 90.00
Element x y z (fractional)
Fe1 0.5000 0.5000 0.0000
In1 0.5000 0.5000 0.5000
Os1 0.0000 0.0000 0.7912
Os2 0.0000 0.0000 0.2088



5.
An optimized crystal structure of LiRuPb2, computed with GGA-PBEsol.

Calculated values
N(E_F) ... 2.3 states/eV/cell
ΔH_f (0 K) ... 0.80 eV/f.u.
Symmetry ... No. 44
Energy ... -19.341 eV for the cell shown

a b c (Å): 3.1560 4.4121 6.7039
angles (deg): 109.21 103.61 90.00
Element x y z (fractional)
Li1 0.1840 0.6840 0.3680
Pb1 0.0183 0.0183 0.0367
Pb2 0.8007 0.3007 0.6015
Ru1 0.4969 0.4969 0.9939



6.
An optimized crystal structure of Ta2CuAg, computed with GGA-PBEsol.

Calculated values
N(E_F) ... 4.2 states/eV/cell
ΔH_f (0 K) ... 0.87 eV/f.u.
Symmetry ... No. 123
Relative energy among the computed polymorphs ... 0.000 eV/atom
Energy ... -31.878 eV for the cell shown

a b c (Å): 2.7647 2.7647 8.2215
angles (deg): 90.00 90.00 90.00
Element x y z (fractional)
Ag1 0.5000 0.5000 0.0000
Cu1 0.5000 0.5000 0.5000
Ta1 0.0000 0.0000 0.7286
Ta2 0.0000 0.0000 0.2714